The following is a DFT calculation (GGA-PBE) of a relaxed structure of YU3In3Te8.

a = 8.7059 Å, b = 8.7059 Å, c = 9.6613 Å
α = 116.78°, β = 90.00°, γ = 120.00°
Last column: nearest neighbours and their distance in Å.
Fractional positions:
1 Te 0.7597 0.5194 0.2805  2 U 3.09-3.10, 1 Y 3.10, 2 In 3.42
2 Te 0.2403 0.9792 0.7195  2 U 3.09-3.10, 1 Y 3.10, 2 In 3.42
3 Te 0.7597 0.0208 0.2805  2 U 3.09-3.10, 1 Y 3.10, 2 In 3.42
4 Te 0.2592 0.5184 0.2776  3 U 3.11, 3 In 3.40
5 Te 0.2403 0.4806 0.7195  2 U 3.09-3.10, 1 Y 3.10, 2 In 3.42
6 Te 0.2611 0.0208 0.2805  2 U 3.09-3.10, 1 Y 3.10, 2 In 3.42
7 Te 0.7389 0.9792 0.7195  2 U 3.09-3.10, 1 Y 3.10, 2 In 3.42
8 Te 0.7408 0.4816 0.7224  3 U 3.11, 3 In 3.40
9 In 0.5000 0.5000 0.0000  6 Te 3.40-3.42
10 In 0.0000 0.5000 0.0000  6 Te 3.40-3.42
11 In 0.0000 0.0000 0.0000  6 Te 3.40-3.42
12 U 0.5000 0.0000 0.5000  6 Te 3.09-3.11
13 U 0.5000 0.5000 0.5000  6 Te 3.09-3.11
14 U 0.0000 0.5000 0.5000  6 Te 3.10-3.11
15 Y 0.0000 0.0000 0.5000  6 Te 3.10

Calculated values
raw formation energy	-14.431	kcal/mol of atoms
symmetry	R-3m (166)
total energy	-83.06	eV/cell